Below is a geometry-optimized YTmAu2O4 structure, with properties calculated at the PBE level.

The structure in POSCAR format:
```
YTmAu2O4
1.0
3.497 0.000 0.000
-1.749 3.029 0.000
0.000 0.000 12.221
Y Tm Au O
1 1 2 4
Direct
0.000 0.000 0.000
0.000 0.000 0.500
0.333 0.667 0.252
0.667 0.333 0.748
0.333 0.667 0.085
0.333 0.667 0.419
0.667 0.333 0.581
0.667 0.333 0.915
```

## Properties
The density is 9.183 g/cm³. The final energy comes out at -6.91 eV per atom.